1.
The following is a DFT calculation (PBE) of a relaxed La2Pr4Cd crystal.

* offset from the most stable computed form: 0.0 meV per atom
* E_form: -4 kJ/mol of atoms

a b c (Å): 18.0968 18.0968 3.6769
angles (deg): 90.00 90.00 168.36
Positions (direct):
1 La 0.2062 0.7938 0.0000
2 La 0.7938 0.2062 0.0000
3 Pr 0.0597 0.9403 0.0000
4 Pr 0.3671 0.6329 0.5000
5 Pr 0.6329 0.3671 0.5000
6 Pr 0.9403 0.0597 0.0000
7 Cd 0.5000 0.5000 0.5000

2.
The following is a DFT calculation (PBE) of a relaxed LaPr2Cd crystal.

* offset from the most stable computed form: 138.0 meV per atom
* E_form: -2 kJ/mol of atoms

a b c (Å): 5.6366 5.6366 5.6366
angles (deg): 60.00 60.00 60.00
Positions (direct):
1 La 0.0000 0.0000 0.0000
2 Pr 0.2500 0.2500 0.2500
3 Pr 0.7500 0.7500 0.7500
4 Cd 0.5000 0.5000 0.5000

3.
The following is a DFT calculation (PBE) of a relaxed La6Pr12Cd crystal.

* offset from the most stable computed form: 22.8 meV per atom
* E_form: 8 kJ/mol of atoms

a b c (Å): 8.9833 8.9833 8.9833
angles (deg): 98.24 98.24 98.24
Positions (direct):
1 La 0.0924 0.3635 0.3651
2 La 0.3635 0.3651 0.0924
3 La 0.3651 0.0924 0.3635
4 La 0.6349 0.9076 0.6365
5 La 0.6365 0.6349 0.9076
6 La 0.9076 0.6365 0.6349
7 Pr 0.0844 0.6713 0.0847
8 Pr 0.0847 0.0844 0.6713
9 Pr 0.2401 0.5006 0.7599
10 Pr 0.2401 0.7599 0.4994
11 Pr 0.3287 0.9153 0.9156
12 Pr 0.4994 0.2401 0.7599
13 Pr 0.5006 0.7599 0.2401
14 Pr 0.6713 0.0847 0.0844
15 Pr 0.7599 0.2401 0.5006
16 Pr 0.7599 0.4994 0.2401
17 Pr 0.9153 0.9156 0.3287
18 Pr 0.9156 0.3287 0.9153
19 Cd 0.5000 0.5000 0.5000

4.
The following is a DFT calculation (PBE) of a relaxed La8PrCd2 crystal.

* offset from the most stable computed form: 0.0 meV per atom
* E_form: -8 kJ/mol of atoms

a b c (Å): 9.1448 9.1448 8.6351
angles (deg): 112.51 112.51 35.03
Positions (direct):
1 La 0.0496 0.0496 0.2395
2 La 0.1497 0.1497 0.7042
3 La 0.3110 0.3110 0.5431
4 La 0.3978 0.3978 0.0330
5 La 0.6022 0.6022 0.9670
6 La 0.6890 0.6890 0.4569
7 La 0.8503 0.8503 0.2958
8 La 0.9504 0.9504 0.7605
9 Pr 0.5000 0.5000 0.5000
10 Cd 0.2196 0.2196 0.1306
11 Cd 0.7804 0.7804 0.8694

5.
The following is a DFT calculation (PBE) of a relaxed La3Pr7Cd crystal.

* E_form: 14 kJ/mol of atoms

a b c (Å): 8.7011 8.7011 6.0397
angles (deg): 110.29 110.29 84.00
Positions (direct):
1 La 0.0000 0.0000 0.0000
2 La 0.2089 0.7911 0.5000
3 La 0.7911 0.2089 0.5000
4 Pr 0.0218 0.5997 0.8114
5 Pr 0.2209 0.2209 0.7181
6 Pr 0.4003 0.9782 0.1886
7 Pr 0.5000 0.5000 0.5000
8 Pr 0.5997 0.0218 0.8114
9 Pr 0.7791 0.7791 0.2819
10 Pr 0.9782 0.4003 0.1886
11 Cd 0.5000 0.5000 0.0000

6.
The following is a DFT calculation (PBE) of a relaxed La4Pr2Cd crystal.

* offset from the most stable computed form: 0.0 meV per atom
* E_form: -5 kJ/mol of atoms

a b c (Å): 6.6953 6.7215 12.5876
angles (deg): 74.56 83.01 62.75
Positions (direct):
1 La 0.0000 0.0000 0.0000
2 La 0.0035 0.3471 0.1891
3 La 0.2624 0.3427 0.6246
4 La 0.3902 0.8430 0.4661
5 La 0.5003 0.3253 0.3478
6 La 0.5043 0.8622 0.1593
7 La 0.7628 0.2928 0.7233
8 La 0.8928 0.6329 0.8821
9 Pr 0.3281 0.7874 0.7682
10 Pr 0.4855 0.4245 0.0534
11 Pr 0.8276 0.8817 0.5798
12 Pr 0.9872 0.8033 0.2942
13 Cd 0.4093 0.1514 0.8941
14 Cd 0.9071 0.3747 0.4539

7.
The following is a DFT calculation (PBE) of a relaxed La6PrCd crystal.

* offset from the most stable computed form: 400.0 meV per atom
* E_form: 33 kJ/mol of atoms

a b c (Å): 7.1753 7.1840 8.0428
angles (deg): 63.58 89.78 60.23
Positions (direct):
1 La 0.0448 0.1928 0.2554
2 La 0.2373 0.2123 0.7453
3 La 0.4432 0.5098 0.2544
4 La 0.5568 0.4902 0.7456
5 La 0.7627 0.7877 0.2547
6 La 0.9552 0.8072 0.7446
7 Pr 0.0000 0.0000 0.0000
8 Cd 0.5000 0.0000 0.5000

8.
The following is a DFT calculation (PBE) of a relaxed La2PrCd crystal.

* offset from the most stable computed form: 89.3 meV per atom
* E_form: -7 kJ/mol of atoms

a b c (Å): 11.5602 11.5602 11.5602
angles (deg): 18.57 18.57 18.57
Positions (direct):
1 La 0.2442 0.2442 0.2442
2 La 0.7558 0.7558 0.7558
3 Pr 0.0000 0.0000 0.0000
4 Cd 0.5000 0.5000 0.5000

9.
The following is a DFT calculation (PBE) of a relaxed La15PrCd4 crystal.

* E_form: -7 kJ/mol of atoms

a b c (Å): 5.7994 5.7994 19.9567
angles (deg): 90.00 90.00 90.00
Positions (direct):
1 La 0.0000 0.0000 0.0000
2 La 0.0000 0.0000 0.2225
3 La 0.0000 0.0000 0.3900
4 La 0.0000 0.0000 0.6100
5 La 0.0000 0.0000 0.7775
6 La 0.0000 0.5000 0.1160
7 La 0.0000 0.5000 0.3063
8 La 0.0000 0.5000 0.5000
9 La 0.0000 0.5000 0.6937
10 La 0.0000 0.5000 0.8840
11 La 0.5000 0.0000 0.1160
12 La 0.5000 0.0000 0.3063
13 La 0.5000 0.0000 0.5000
14 La 0.5000 0.0000 0.6937
15 La 0.5000 0.0000 0.8840
16 Pr 0.5000 0.5000 0.0000
17 Cd 0.5000 0.5000 0.2088
18 Cd 0.5000 0.5000 0.4039
19 Cd 0.5000 0.5000 0.5961
20 Cd 0.5000 0.5000 0.7912

10.
The following is a DFT calculation (PBE) of a relaxed La2Pr3Cd3 crystal.

* offset from the most stable computed form: 38.9 meV per atom
* E_form: -18 kJ/mol of atoms

a b c (Å): 5.0712 5.0934 9.5807
angles (deg): 90.00 90.00 90.00
Positions (direct):
1 La 0.0000 0.0000 0.2368
2 La 0.0000 0.0000 0.7632
3 Pr 0.5000 0.0000 0.5000
4 Pr 0.5000 0.5000 0.2322
5 Pr 0.5000 0.5000 0.7678
6 Cd 0.0000 0.5000 0.0000
7 Cd 0.0000 0.5000 0.5000
8 Cd 0.5000 0.0000 0.0000

11.
The following is a DFT calculation (PBE) of a relaxed LaPrCd crystal.

* offset from the most stable computed form: 186.1 meV per atom
* E_form: -2 kJ/mol of atoms

a b c (Å): 4.8945 4.8945 8.2817
angles (deg): 90.00 90.00 90.00
Positions (direct):
1 La 0.2500 0.2500 0.2193
2 La 0.7500 0.7500 0.7807
3 Pr 0.2500 0.2500 0.7742
4 Pr 0.7500 0.7500 0.2258
5 Cd 0.2500 0.7500 0.5000
6 Cd 0.7500 0.2500 0.5000

12.
The following is a DFT calculation (PBE) of a relaxed La6PrCd2 crystal.

* offset from the most stable computed form: 0.0 meV per atom
* E_form: -14 kJ/mol of atoms

a b c (Å): 6.8893 6.8893 12.4490
angles (deg): 107.41 107.41 33.18
Positions (direct):
1 La 0.0214 0.0214 0.3375
2 La 0.3116 0.3116 0.4110
3 La 0.3196 0.3196 0.1235
4 La 0.6804 0.6804 0.8765
5 La 0.6884 0.6884 0.5890
6 La 0.9786 0.9786 0.6625
7 Pr 0.0000 0.0000 0.0000
8 Cd 0.3525 0.3525 0.7985
9 Cd 0.6475 0.6475 0.2015

13.
The following is a DFT calculation (PBE) of a relaxed La12Pr3Cd crystal.

* E_form: -2 kJ/mol of atoms

a b c (Å): 5.2066 5.2066 20.9877
angles (deg): 90.00 90.00 90.00
Positions (direct):
1 La 0.0000 0.0000 0.0000
2 La 0.0000 0.0000 0.2464
3 La 0.0000 0.0000 0.5000
4 La 0.0000 0.0000 0.7536
5 La 0.0000 0.5000 0.1205
6 La 0.0000 0.5000 0.3726
7 La 0.0000 0.5000 0.6274
8 La 0.0000 0.5000 0.8795
9 La 0.5000 0.0000 0.1205
10 La 0.5000 0.0000 0.3726
11 La 0.5000 0.0000 0.6274
12 La 0.5000 0.0000 0.8795
13 Pr 0.5000 0.5000 0.2454
14 Pr 0.5000 0.5000 0.5000
15 Pr 0.5000 0.5000 0.7546
16 Cd 0.5000 0.5000 0.0000

14.
The following is a DFT calculation (PBE) of a relaxed La15Pr2Cd2 crystal.

* E_form: 11 kJ/mol of atoms

a b c (Å): 8.8889 8.8889 8.8889
angles (deg): 79.42 79.42 79.42
Positions (direct):
1 La 0.0000 0.0000 0.5000
2 La 0.0000 0.2902 0.7098
3 La 0.0000 0.5000 0.0000
4 La 0.0000 0.7098 0.2902
5 La 0.1677 0.6214 0.6214
6 La 0.2902 0.0000 0.7098
7 La 0.2902 0.7098 0.0000
8 La 0.3786 0.3786 0.8323
9 La 0.3786 0.8323 0.3786
10 La 0.5000 0.0000 0.0000
11 La 0.6214 0.1677 0.6214
12 La 0.6214 0.6214 0.1677
13 La 0.7098 0.0000 0.2902
14 La 0.7098 0.2902 0.0000
15 La 0.8323 0.3786 0.3786
16 Pr 0.3035 0.3035 0.3035
17 Pr 0.6965 0.6965 0.6965
18 Cd 0.0941 0.0941 0.0941
19 Cd 0.9059 0.9059 0.9059

15.
The following is a DFT calculation (PBE) of a relaxed La5Pr4Cd crystal.

* E_form: -5 kJ/mol of atoms

a b c (Å): 3.7654 3.7654 25.0606
angles (deg): 90.00 90.00 90.00
Positions (direct):
1 La 0.0000 0.0000 0.0000
2 La 0.0000 0.0000 0.2083
3 La 0.0000 0.0000 0.4155
4 La 0.0000 0.0000 0.5845
5 La 0.0000 0.0000 0.7917
6 Pr 0.5000 0.5000 0.1037
7 Pr 0.5000 0.5000 0.3114
8 Pr 0.5000 0.5000 0.6886
9 Pr 0.5000 0.5000 0.8963
10 Cd 0.5000 0.5000 0.5000

16.
The following is a DFT calculation (PBE) of a relaxed LaPrCd3 crystal.

* E_form: -32 kJ/mol of atoms

a b c (Å): 15.4163 15.4163 5.1065
angles (deg): 90.00 90.00 166.70
Positions (direct):
1 La 0.0736 0.9264 0.7500
2 La 0.9264 0.0736 0.2500
3 Pr 0.2128 0.7872 0.2500
4 Pr 0.7872 0.2128 0.7500
5 Cd 0.3265 0.6735 0.2500
6 Cd 0.3797 0.6203 0.7500
7 Cd 0.4763 0.5237 0.7500
8 Cd 0.5237 0.4763 0.2500
9 Cd 0.6203 0.3797 0.2500
10 Cd 0.6735 0.3265 0.7500

17.
The following is a DFT calculation (PBE) of a relaxed La6Pr12Cd crystal.

* offset from the most stable computed form: 0.0 meV per atom
* E_form: 6 kJ/mol of atoms

a b c (Å): 8.7930 8.7930 8.7930
angles (deg): 89.46 89.46 89.46
Positions (direct):
1 La 0.2121 0.7649 0.5936
2 La 0.2351 0.4064 0.7879
3 La 0.4064 0.7879 0.2351
4 La 0.5936 0.2121 0.7649
5 La 0.7649 0.5936 0.2121
6 La 0.7879 0.2351 0.4064
7 Pr 0.0284 0.9358 0.2861
8 Pr 0.0642 0.7139 0.9716
9 Pr 0.1341 0.4707 0.3342
10 Pr 0.2861 0.0284 0.9358
11 Pr 0.3342 0.1341 0.4707
12 Pr 0.4707 0.3342 0.1341
13 Pr 0.5293 0.6658 0.8659
14 Pr 0.6659 0.8659 0.5293
15 Pr 0.7139 0.9716 0.0642
16 Pr 0.8659 0.5293 0.6658
17 Pr 0.9358 0.2861 0.0284
18 Pr 0.9716 0.0642 0.7139
19 Cd 0.5000 0.5000 0.5000

18.
The following is a DFT calculation (PBE) of a relaxed La3Pr4Cd2 crystal.

* E_form: -7 kJ/mol of atoms

a b c (Å): 9.8293 9.8293 6.6354
angles (deg): 102.71 102.71 80.57
Positions (direct):
1 La 0.0124 0.9876 0.7500
2 La 0.3416 0.4287 0.0479
3 La 0.4287 0.3416 0.5479
4 La 0.5713 0.6584 0.4521
5 La 0.6584 0.5713 0.9521
6 La 0.9876 0.0124 0.2500
7 Pr 0.0121 0.3746 0.1694
8 Pr 0.2140 0.6663 0.4811
9 Pr 0.3337 0.7860 0.0189
10 Pr 0.3746 0.0121 0.6694
11 Pr 0.6254 0.9879 0.3306
12 Pr 0.6663 0.2140 0.9811
13 Pr 0.7860 0.3337 0.5189
14 Pr 0.9879 0.6254 0.8306
15 Cd 0.1210 0.2845 0.6481
16 Cd 0.2845 0.1210 0.1481
17 Cd 0.7155 0.8790 0.8519
18 Cd 0.8790 0.7155 0.3519

19.
The following is a DFT calculation (PBE) of a relaxed La6Pr3Cd crystal.

* offset from the most stable computed form: 0.0 meV per atom
* E_form: -3 kJ/mol of atoms

a b c (Å): 11.3572 5.2927 11.7381
angles (deg): 90.00 92.66 90.00
Positions (direct):
1 La 0.0423 0.2500 0.3863
2 La 0.1315 0.7500 0.1816
3 La 0.1560 0.2500 0.6803
4 La 0.2291 0.2500 0.9908
5 La 0.3457 0.7500 0.7964
6 La 0.4512 0.2500 0.5996
7 La 0.5488 0.7500 0.4004
8 La 0.6543 0.2500 0.2036
9 La 0.7709 0.7500 0.0092
10 La 0.8440 0.7500 0.3197
11 La 0.8685 0.2500 0.8184
12 La 0.9577 0.7500 0.6137
13 Pr 0.2450 0.7500 0.4875
14 Pr 0.3432 0.2500 0.2922
15 Pr 0.4484 0.7500 0.0958
16 Pr 0.5516 0.2500 0.9042
17 Pr 0.6567 0.7500 0.7078
18 Pr 0.7550 0.2500 0.5125
19 Cd 0.0582 0.7500 0.8901
20 Cd 0.9418 0.2500 0.1099

20.
The following is a DFT calculation (PBE) of a relaxed LaPr4Cd4 crystal.

* E_form: -13 kJ/mol of atoms

a b c (Å): 9.6269 9.6269 5.9479
angles (deg): 90.00 90.00 90.00
Positions (direct):
1 La 0.2500 0.2500 0.2500
2 La 0.7500 0.7500 0.7500
3 Pr 0.0909 0.8260 0.6657
4 Pr 0.1740 0.5909 0.1657
5 Pr 0.3260 0.9091 0.1657
6 Pr 0.4091 0.6740 0.6657
7 Pr 0.5909 0.3260 0.3343
8 Pr 0.6740 0.0909 0.8343
9 Pr 0.8260 0.4091 0.8343
10 Pr 0.9091 0.1740 0.3343
11 Cd 0.0518 0.1493 0.8298
12 Cd 0.1493 0.4482 0.6702
13 Cd 0.3507 0.0518 0.6702
14 Cd 0.4482 0.3507 0.8298
15 Cd 0.5518 0.6493 0.1702
16 Cd 0.6493 0.9482 0.3298
17 Cd 0.8507 0.5518 0.3298
18 Cd 0.9482 0.8507 0.1702

The evaluated theoretical density for the records listed, in turn: 6.519; 6.991; 6.254; 6.460; 6.257; 6.498; 5.832; 6.442; 6.616; 6.964; 6.566; 6.482; 6.427; 6.415; 6.405; 7.340; 6.441; 6.610; 6.449; 6.942 Mg/m³.
The evaluated calculated volume for the records listed, in turn: 243; 127; 700; 380; 402; 485; 309; 137; 671; 247; 198; 307; 569; 670; 355; 279; 680; 606; 705; 551 Å³/cell.